Record 1
A geometry-optimized HfNbRh2 structure, computed with PBE.

- Total magnetization: 0.000 μB per atom
- Calculated formation energy: -53.45 kJ per mole of atoms

Lattice parameters (Å, degrees): 4.203 4.203 3.781 90.00 90.00 90.00
Fractional positions:
1 Hf 0.000 0.000 0.000
2 Nb 0.500 0.500 0.000
3 Rh 0.000 0.500 0.500
4 Rh 0.500 0.000 0.500

---

Record 2
A geometry-optimized Zr2ZnCu structure, computed with PBE.

- Total magnetization: 0.000 μB per atom
- Calculated formation energy: 18.60 kJ per mole of atoms

Lattice parameters (Å, degrees): 5.970 5.970 5.970 102.02 102.02 125.70
Fractional positions:
1 Zr 0.107 0.625 0.982
2 Zr 0.375 0.357 0.482
3 Zr 0.643 0.125 0.018
4 Zr 0.875 0.893 0.518
5 Zn 0.250 0.750 0.500
6 Zn 0.500 0.500 0.000
7 Cu 0.000 0.000 0.000
8 Cu 0.750 0.250 0.500

---

Record 3
A geometry-optimized Pa2AlFe2 structure, computed with PBE.

- Total magnetization: 0.000 μB per atom
- Calculated formation energy: -32.38 kJ per mole of atoms

Lattice parameters (Å, degrees): 5.097 5.097 5.097 130.48 113.76 87.02
Fractional positions:
1 Pa 0.196 0.196 0.000
2 Pa 0.804 0.804 0.000
3 Al 0.500 0.000 0.500
4 Fe 0.257 0.500 0.757
5 Fe 0.743 0.500 0.243

---

Record 4
A geometry-optimized Cs4Tl2Hg structure, computed with PBE.

- Total magnetization: 0.000 μB per atom
- Energy relative to the lowest polymorph listed for this composition: 0.000 eV/atom
- Calculated formation energy: -7.82 kJ per mole of atoms

Lattice parameters (Å, degrees): 8.325 8.325 9.401 123.62 123.62 48.61
Fractional positions:
1 Cs 0.148 0.148 0.010
2 Cs 0.184 0.184 0.570
3 Cs 0.816 0.816 0.430
4 Cs 0.852 0.852 0.990
5 Tl 0.492 0.492 0.330
6 Tl 0.508 0.508 0.670
7 Hg 0.500 0.500 0.000